Entry 1:
Material: YCo2O4
Method: DFT, GGA+U
State: optimized geometry Values from VASP.

Energy above the lowest structure with this stoichiometry ... 1.617 kcal/mol of atoms
Magnetization ... 1.00 μB per atom

Geometry as Quantum ESPRESSO input:
```
&SYSTEM
  ibrav = 0, nat = 14, ntyp = 3
/
ATOMIC_SPECIES
Y 88.91 Y.upf
Co 58.93 Co.upf
O 16.00 O.upf
CELL_PARAMETERS angstrom
-3.072 3.265 4.324
3.072 -3.265 4.324
3.072 3.265 -4.324
ATOMIC_POSITIONS crystal
Y 0.000 0.000 0.000
Y 0.500 0.000 0.500
Co 0.000 0.000 0.500
Co 0.000 0.500 0.000
Co 0.378 0.628 0.750
Co 0.622 0.372 0.250
O 0.231 0.738 0.493
O 0.245 0.245 0.499
O 0.245 0.746 0.001
O 0.256 0.262 0.993
O 0.744 0.738 0.007
O 0.755 0.254 0.999
O 0.755 0.755 0.501
O 0.769 0.262 0.507
```

***

Entry 2:
Material: MoRuN2O
Method: DFT, GGA+U
State: optimized geometry Values from VASP.

Magnetization ... 0.68 μB per atom
DOS(E_F) ... 3.5 states/eV/f.u.
Calculated total energy ... -6.80 eV per atom

Geometry as Quantum ESPRESSO input:
```
&SYSTEM
  ibrav = 0, nat = 5, ntyp = 4
/
ATOMIC_SPECIES
Mo 95.94 Mo.upf
Ru 101.07 Ru.upf
N 14.01 N.upf
O 16.00 O.upf
CELL_PARAMETERS angstrom
3.982 0.000 0.000
0.000 3.982 0.000
0.000 0.000 3.877
ATOMIC_POSITIONS crystal
Mo 0.000 0.000 0.000
Ru 0.500 0.500 0.500
N 0.000 0.500 0.000
N 0.500 0.000 0.000
O 0.000 0.000 0.500
```

***

What did the second record say?
Material: MoRuN2O
Method: DFT, GGA+U
State: optimized geometry Values from VASP.

Magnetization ... 0.68 μB per atom
DOS(E_F) ... 3.5 states/eV/f.u.
Calculated total energy ... -6.80 eV per atom

Geometry as Quantum ESPRESSO input:
```
&SYSTEM
  ibrav = 0, nat = 5, ntyp = 4
/
ATOMIC_SPECIES
Mo 95.94 Mo.upf
Ru 101.07 Ru.upf
N 14.01 N.upf
O 16.00 O.upf
CELL_PARAMETERS angstrom
3.982 0.000 0.000
0.000 3.982 0.000
0.000 0.000 3.877
ATOMIC_POSITIONS crystal
Mo 0.000 0.000 0.000
Ru 0.500 0.500 0.500
N 0.000 0.500 0.000
N 0.500 0.000 0.000
O 0.000 0.000 0.500
```

***

Look up the magnetization of the first one. 1.00 μB per atom

***

What is the magnetization in the first record? 1.00 μB per atom